Entry 1:
First-principles (PBE-GGA) data for a relaxed LaTmScAl crystal, as listed in Alexandria via LeMat-Bulk.

Cell and atoms, written as POSCAR:
```
LaTmScAl
1.0
7.506 0.000 0.000
0.000 7.506 0.000
0.000 0.000 7.506
La Tm Sc Al
4 4 4 4
direct
0.000 0.000 0.000
0.000 0.500 0.500
0.500 0.000 0.500
0.500 0.500 0.000
0.000 0.000 0.500
0.000 0.500 0.000
0.500 0.000 0.000
0.500 0.500 0.500
0.250 0.250 0.750
0.250 0.750 0.250
0.750 0.250 0.250
0.750 0.750 0.750
0.250 0.250 0.250
0.250 0.750 0.750
0.750 0.250 0.750
0.750 0.750 0.250
```

Calculated values
Crystal system: cubic
Space group: F-43m
Final energy (eV per formula unit): -19.88

Entry 2:
First-principles (PBE-GGA) data for a relaxed Ba2WAu crystal, as listed in Alexandria via LeMat-Bulk.

Cell and atoms, written as POSCAR:
```
Ba2WAu
1.0
8.884 0.000 0.000
0.000 8.884 0.000
0.000 0.000 6.627
Ba W Au
8 4 4
direct
0.239 0.250 0.125
0.250 0.739 0.375
0.250 0.761 0.875
0.261 0.250 0.625
0.739 0.750 0.625
0.750 0.239 0.875
0.750 0.261 0.375
0.761 0.750 0.125
0.000 0.000 0.500
0.000 0.500 0.750
0.500 0.000 0.250
0.500 0.500 0.000
0.000 0.000 0.000
0.000 0.500 0.250
0.500 0.000 0.750
0.500 0.500 0.500
```

Calculated values
Crystal system: tetragonal
Space group: I-42d
Excess energy over the best structure of this formula in the dataset (meV/atom): 560.3

Entry 3:
First-principles (PBE-GGA) data for a relaxed TlCuRu2 crystal, as listed in Alexandria via LeMat-Bulk.

Cell and atoms, written as POSCAR:
```
TlCuRu2
1.0
3.037 0.000 0.000
0.000 4.813 0.000
0.000 0.000 8.894
Tl Cu Ru
2 2 4
direct
0.000 0.000 0.000
0.500 0.500 0.000
0.000 0.000 0.500
0.500 0.500 0.500
0.000 0.500 0.269
0.000 0.500 0.731
0.500 0.000 0.269
0.500 0.000 0.731
```

Calculated values
Crystal system: orthorhombic
Space group: Cmmm
Excess energy over the best structure of this formula in the dataset (meV/atom): 401.4

Entry 4:
First-principles (PBE-GGA) data for a relaxed NdErPdRh crystal, as listed in Alexandria via LeMat-Bulk.

Cell and atoms, written as POSCAR:
```
NdErPdRh
1.0
7.025 0.000 0.000
0.000 7.025 0.000
0.000 0.000 7.025
Nd Er Pd Rh
4 4 4 4
direct
0.000 0.000 0.000
0.000 0.500 0.500
0.500 0.000 0.500
0.500 0.500 0.000
0.000 0.000 0.500
0.000 0.500 0.000
0.500 0.000 0.000
0.500 0.500 0.500
0.250 0.250 0.250
0.250 0.750 0.750
0.750 0.250 0.750
0.750 0.750 0.250
0.250 0.250 0.750
0.250 0.750 0.250
0.750 0.250 0.250
0.750 0.750 0.750
```

Calculated values
Crystal system: cubic
Space group: F-43m
Excess energy over the best structure of this formula in the dataset (meV/atom): 26.2

Entry 5:
First-principles (PBE-GGA) data for a relaxed La6RhAu2Cl3 crystal, as listed in Alexandria via LeMat-Bulk.

Cell and atoms, written as POSCAR:
```
La6RhAu2Cl3
1.0
9.452 -2.150 0.000
9.452 2.150 0.000
-2.215 0.000 8.495
La Rh Au Cl
6 1 2 3
direct
0.001 0.001 0.270
0.334 0.334 0.908
0.347 0.347 0.408
0.653 0.653 0.592
0.666 0.666 0.092
0.999 0.999 0.730
0.500 0.500 0.500
0.167 0.167 0.847
0.833 0.833 0.153
0.175 0.175 0.348
0.500 0.500 0.000
0.825 0.825 0.652
```

Calculated values
Crystal system: monoclinic
Space group: C2/m
Formation energy from raw total energies (meV/atom): -1190

Entry 6:
First-principles (PBE-GGA) data for a relaxed Zr3Be crystal, as listed in Alexandria via LeMat-Bulk.

Cell and atoms, written as POSCAR:
```
Zr3Be
1.0
4.225 0.000 0.000
0.000 4.225 0.000
0.000 0.000 8.814
Zr Be
6 2
direct
0.000 0.000 0.000
0.000 0.500 0.250
0.000 0.500 0.750
0.500 0.000 0.250
0.500 0.000 0.750
0.500 0.500 0.500
0.000 0.000 0.500
0.500 0.500 0.000
```

Calculated values
Crystal system: tetragonal
Space group: I4/mmm
Excess energy over the best structure of this formula in the dataset (meV/atom): 38.5